The following is a DFT calculation (PBE+U) of a relaxed structure of YNi3F.

Cell lengths 4.695, 4.695, 4.695 Å; angles 90.00, 90.00, 90.00 degrees
Positions (direct):
Y1 0.000 0.000 0.000
Ni1 0.000 0.500 0.000
Ni2 0.000 0.000 0.500
Ni3 0.500 0.000 0.000
F1 0.500 0.500 0.500

Calculated values
Excess energy over the best structure of this formula in the dataset ... 38.260 kcal/mol of atoms